First-principles (PBE) data for a relaxed structure of UTe2Br, as listed in the Alexandria database.

Unit cell a=7.546 b=7.546 c=9.304 alpha=90.00 beta=90.00 gamma=148.89
Sites, in units of the cell vectors:
U1 0.239 0.761 0.750
U2 0.761 0.239 0.250
Te1 0.153 0.847 0.069
Te2 0.153 0.847 0.431
Te3 0.847 0.153 0.569
Te4 0.847 0.153 0.931
Br1 0.402 0.598 0.250
Br2 0.598 0.402 0.750

## Properties
Its space group is Cmcm. For the energy above the most stable polymorph in this dataset, the calculation gives 0 meV/atom. Its uncorrected energy is -44.350 eV per cell. The value obtained for the uncorrected formation energy is -0.7327 eV per atom.